1.
Entry from the Alexandria database: a geometry-optimized HfB4 structure (PBE).

```
5
Lattice="4.4712 0.0000 0.0000 0.0000 4.4712 0.0000 0.0000 0.0000 4.4712" Properties=species:S:1:pos:R:3 pbc="T T T"
Hf 0.0000 0.0000 0.0000
B 0.0000 0.0000 2.2356
B 0.0000 2.2356 0.0000
B 2.2356 0.0000 0.0000
B 2.2356 2.2356 2.2356
```

## Properties
Calculated formation energy, eV/f.u.: 13.3
Calculated density, g/cm3: 4.1
Volume, Å³/atom: 17.9
Excess energy over the best structure of this formula in the dataset, meV/atom: 2948



2.
Entry from the Alexandria database: a geometry-optimized TlB4 structure (PBE).

```
5
Lattice="4.5240 0.0000 0.0000 0.0000 4.5240 0.0000 0.0000 0.0000 4.5240" Properties=species:S:1:pos:R:3 pbc="T T T"
Tl 0.0000 0.0000 0.0000
B 0.0000 0.0000 2.2620
B 0.0000 2.2620 0.0000
B 2.2620 0.0000 0.0000
B 2.2620 2.2620 2.2620
```

## Properties
Calculated formation energy, eV/f.u.: 16.8
Calculated density, g/cm3: 4.4
Volume, Å³/atom: 18.5